A relaxed YEr5In3 crystal, computed with PBE.

**Energy of formation from the pure elements**: -0.3564 eV/atom
**SG**: P6_3/mcm

Unit cell a=6.6982 b=9.2688 c=9.2680 alpha=120.00 beta=90.00 gamma=90.00
With the nearest neighbours (Å) after each atom.
Sites, in units of the cell vectors:
Y  0.0000  0.0000  0.0000  2 Y 3.35, 6 In 3.50, 6 Er 3.53
Y  0.5000  0.0000  0.0000  2 Y 3.35, 6 In 3.50, 6 Er 3.53
Er  0.0000  0.6667  0.3334  8 Er 3.35-3.51, 6 In 3.52
Er  0.5000  0.3333  0.6666  8 Er 3.35-3.51, 6 In 3.52
Er  0.0000  0.3333  0.6666  8 Er 3.35-3.51, 6 In 3.52
Er  0.5000  0.6667  0.3334  8 Er 3.35-3.51, 6 In 3.52
Er  0.7500  0.6644  0.6645  5 In 3.08-3.35
Er  0.7500  0.0000  0.3355  5 In 3.08-3.35
Er  0.7500  0.3355  0.0000  5 In 3.08-3.35
Er  0.2500  0.3356  0.3355  5 In 3.08-3.35
Er  0.2500  0.0000  0.6645  5 In 3.08-3.35
Er  0.2500  0.6645  0.0000  5 In 3.08-3.35
In  0.7500  0.3320  0.3321  5 Er 3.08-3.35
In  0.7500  0.9999  0.6679  5 Er 3.08-3.35
In  0.7500  0.6680  0.0000  5 Er 3.08-3.35
In  0.2500  0.6680  0.6679  5 Er 3.08-3.35
In  0.2500  0.0001  0.3321  5 Er 3.08-3.35
In  0.2500  0.3320  0.0000  5 Er 3.08-3.35

A relaxed CeSm2Pt crystal, computed with PBE.

**Energy of formation from the pure elements**: -0.5833 eV/atom
**SG**: Pnma
**Excess energy over the best structure of this formula in the dataset**: 0 meV per atom

Unit cell a=6.6411 b=7.1224 c=9.8582 alpha=90.00 beta=90.00 gamma=90.00
With the nearest neighbours (Å) after each atom.
Sites, in units of the cell vectors:
Ce  0.6466  0.5278  0.2500  2 Pt 2.83-2.91
Ce  0.8534  0.0278  0.2500  2 Pt 2.83-2.91
Ce  0.3534  0.4722  0.7500  2 Pt 2.83-2.91
Ce  0.1466  0.9722  0.7500  2 Pt 2.83-2.91
Sm  0.1684  0.6819  0.0614  2 Pt 2.95-2.97
Sm  0.3316  0.1819  0.4386  2 Pt 2.95-2.97
Sm  0.8316  0.3181  0.5614  2 Pt 2.95-2.97
Sm  0.6684  0.8181  0.9386  2 Pt 2.95-2.97
Sm  0.8316  0.3181  0.9386  2 Pt 2.95-2.97
Sm  0.6684  0.8181  0.5614  2 Pt 2.95-2.97
Sm  0.1684  0.6819  0.4386  2 Pt 2.95-2.97
Sm  0.3316  0.1819  0.0614  2 Pt 2.95-2.97
Pt  0.0536  0.3784  0.2500  2 Ce 2.83-2.91, 4 Sm 2.95-2.97
Pt  0.4464  0.8784  0.2500  2 Ce 2.83-2.91, 4 Sm 2.95-2.97
Pt  0.9464  0.6216  0.7500  2 Ce 2.83-2.91, 4 Sm 2.95-2.97
Pt  0.5536  0.1216  0.7500  2 Ce 2.83-2.91, 4 Sm 2.95-2.97

A relaxed MnCdHgAs2 crystal, computed with PBE.

**Energy of formation from the pure elements**: 0.2593 eV/atom
**SG**: P4/mmm

Unit cell a=4.5288 b=5.3709 c=4.5288 alpha=90.00 beta=90.00 gamma=90.00
With the nearest neighbours (Å) after each atom.
Sites, in units of the cell vectors:
As  0.0000  0.0000  0.5000  2 Mn 2.26
As  0.5000  0.0000  0.0000  2 Mn 2.26
Mn  0.0000  0.0000  0.0000  4 As 2.26
Hg  0.0000  0.5000  0.0000  2 Mn 2.69
Cd  0.5000  0.5000  0.5000  4 Hg 3.20, 8 As 3.51

A relaxed Tb2MgCu2 crystal, computed with PBE.

**Energy of formation from the pure elements**: -0.2442 eV/atom
**SG**: P4/mbm

Unit cell a=3.7454 b=7.6306 c=7.6306 alpha=90.00 beta=90.00 gamma=90.00
With the nearest neighbours (Å) after each atom.
Sites, in units of the cell vectors:
Mg  0.0000  0.5000  0.5000  4 Cu 3.02
Mg  0.0000  0.0000  0.0000  4 Cu 3.02
Tb  0.5000  0.3310  0.8310  6 Cu 2.92-2.93
Tb  0.5000  0.1690  0.3310  6 Cu 2.92-2.93
Tb  0.5000  0.8310  0.6690  6 Cu 2.92-2.93
Tb  0.5000  0.6690  0.1690  6 Cu 2.92-2.93
Cu  0.0000  0.8763  0.3763  1 Cu 2.67, 6 Tb 2.92-2.93
Cu  0.0000  0.6237  0.8763  1 Cu 2.67, 6 Tb 2.92-2.93
Cu  0.0000  0.1237  0.6237  1 Cu 2.67, 6 Tb 2.92-2.93
Cu  0.0000  0.3763  0.1237  1 Cu 2.67, 6 Tb 2.92-2.93

A relaxed CsGaAs crystal, computed with PBE.

**Energy of formation from the pure elements**: -0.2856 eV/atom
**SG**: P3m1
**Excess energy over the best structure of this formula in the dataset**: 79 meV per atom

Unit cell a=6.3406 b=4.2271 c=4.2271 alpha=120.00 beta=90.00 gamma=90.00
With the nearest neighbours (Å) after each atom.
Sites, in units of the cell vectors:
Cs  0.6674  0.6667  0.3333  3 Ga 3.69, 3 As 3.70
As  0.2281  0.3333  0.6667  3 Ga 2.56
Ga  0.1045  0.0000  0.0000  3 As 2.56

A relaxed Na2UTe6Pb3 crystal, computed with PBE.

**SG**: C2/m
**ΔE_f (raw)**: -607 meV/atom

Unit cell a=7.9138 b=7.9138 c=7.9686 alpha=99.44 beta=99.44 gamma=119.74
With the nearest neighbours (Å) after each atom.
Sites, in units of the cell vectors:
Na  0.3325  0.6675  0.0000  6 Te 3.24-3.29
Na  0.6675  0.3325  0.0000  6 Te 3.24-3.29
U  0.0000  0.0000  0.0000  6 Te 3.07-3.13
Te  0.9202  0.6051  0.7638  1 U 3.07, 2 Na 3.24, 2 Pb 3.25
Te  0.7640  0.7640  0.2469  1 U 3.13, 3 Pb 3.18-3.35, 2 Na 3.29
Te  0.0798  0.3949  0.2362  1 U 3.07, 2 Na 3.24, 2 Pb 3.25
Te  0.6051  0.9202  0.7638  1 U 3.07, 2 Na 3.24, 2 Pb 3.25
Te  0.2360  0.2360  0.7531  1 U 3.13, 3 Pb 3.18-3.35, 2 Na 3.29
Te  0.3949  0.0798  0.2362  1 U 3.07, 2 Na 3.24, 2 Pb 3.25
Pb  0.1635  0.8365  0.5000  6 Te 3.18-3.45
Pb  0.8365  0.1635  0.5000  6 Te 3.18-3.45
Pb  0.5000  0.5000  0.5000  6 Te 3.25-3.35

A relaxed NdEr2Au crystal, computed with PBE.

**Energy of formation from the pure elements**: -0.2946 eV/atom
**SG**: R-3m
**Excess energy over the best structure of this formula in the dataset**: 124 meV per atom

Unit cell a=3.7216 b=3.7216 c=10.1641 alpha=79.45 beta=79.45 gamma=60.00
With the nearest neighbours (Å) after each atom.
Sites, in units of the cell vectors:
Nd  0.5000  0.5000  0.5000  6 Er 3.66, 6 Nd 3.72
Au  0.0000  0.0000  0.0000  6 Er 2.94
Er  0.2659  0.2659  0.2022  3 Au 2.94
Er  0.7341  0.7341  0.7978  3 Au 2.94

A relaxed UTiB4 crystal, computed with PBE.

**Energy of formation from the pure elements**: -0.6014 eV/atom
**SG**: I-4m2

Unit cell a=3.1185 b=3.1185 c=6.6579 alpha=103.54 beta=103.54 gamma=90.00
With the nearest neighbours (Å) after each atom.
Sites, in units of the cell vectors:
U  0.2500  0.7500  0.5000  12 B 2.65-2.71
Ti  0.0000  0.0000  0.0000  12 B 2.29-2.39
B  0.6332  0.1332  0.2663  2 B 1.73
B  0.5734  0.5734  0.1467  3 B 1.73-1.84
B  0.8668  0.3668  0.7337  2 B 1.73
B  0.4266  0.4266  0.8533  3 B 1.73-1.84

Please write out number 3 again, unchanged.
A relaxed MnCdHgAs2 crystal, computed with PBE.

**Energy of formation from the pure elements**: 0.2593 eV/atom
**SG**: P4/mmm

Unit cell a=4.5288 b=5.3709 c=4.5288 alpha=90.00 beta=90.00 gamma=90.00
With the nearest neighbours (Å) after each atom.
Sites, in units of the cell vectors:
As  0.0000  0.0000  0.5000  2 Mn 2.26
As  0.5000  0.0000  0.0000  2 Mn 2.26
Mn  0.0000  0.0000  0.0000  4 As 2.26
Hg  0.0000  0.5000  0.0000  2 Mn 2.69
Cd  0.5000  0.5000  0.5000  4 Hg 3.20, 8 As 3.51